Model a:
Computed, not measured: a geometry-optimized YTi3Be structure at the PBE level of DFT.

a b c (Å): 4.7780 4.7780 4.7780
angles (deg): 90.00 90.00 90.00
Positions (direct):
Ti: 0.5000 0.0000 0.0000
Ti: 0.0000 0.5000 0.0000
Ti: 0.0000 0.0000 0.5000
Y: 0.0000 0.0000 0.0000
Be: 0.5000 0.5000 0.5000

Results
theoretical density: 3.7 Mg/m³
total magnetic moment: 0.0 μB/f.u.
symmetry: Pm-3m



Model b:
Computed, not measured: a geometry-optimized YTi3Be structure at the PBE level of DFT.

a b c (Å): 4.6085 4.6085 4.6085
angles (deg): 90.00 90.00 90.00
Positions (direct):
Ti: 0.0000 0.5000 0.0000
Ti: 0.0000 0.0000 0.5000
Ti: 0.5000 0.0000 0.0000
Y: 0.5000 0.5000 0.5000
Be: 0.0000 0.0000 0.0000

Results
theoretical density: 4.1 Mg/m³
total magnetic moment: 2.5 μB/f.u.
symmetry: Pm-3m



Of them, model b has the highest stability.



Model a:
Computed, not measured: a geometry-optimized Y3TiBe structure at the PBE level of DFT.

a b c (Å): 5.2123 5.2123 5.2123
angles (deg): 90.00 90.00 90.00
Positions (direct):
Y: 0.5000 0.0000 0.0000
Y: 0.0000 0.5000 0.0000
Y: 0.0000 0.0000 0.5000
Ti: 0.5000 0.5000 0.5000
Be: 0.0000 0.0000 0.0000

Results
theoretical density: 3.8 Mg/m³
total magnetic moment: 3.1 μB/f.u.
symmetry: Pm-3m



Model b:
Computed, not measured: a geometry-optimized Y3TiBe structure at the PBE level of DFT.

a b c (Å): 5.2819 5.2819 5.2819
angles (deg): 90.00 90.00 90.00
Positions (direct):
Ti: 0.0000 0.0000 0.0000
Be: 0.5000 0.5000 0.5000
Y: 0.5000 0.0000 0.0000
Y: 0.0000 0.5000 0.0000
Y: 0.0000 0.0000 0.5000

Results
theoretical density: 3.6 Mg/m³
total magnetic moment: 0.0 μB/f.u.
symmetry: Pm-3m



Of them, model a has the highest stability.



Model a:
Computed, not measured: a geometry-optimized TiBe2Zn2 structure at the PBE level of DFT.

a b c (Å): 7.0622 7.0622 2.4741
angles (deg): 90.00 90.00 90.00
Positions (direct):
Ti: 0.5000 0.5000 0.0000
Ti: 0.0000 0.0000 0.0000
Zn: 0.1299 0.3701 0.0000
Zn: 0.3701 0.8701 0.0000
Zn: 0.8701 0.6299 0.0000
Zn: 0.6299 0.1299 0.0000
Be: 0.3297 0.1703 0.5000
Be: 0.6703 0.8297 0.5000
Be: 0.1703 0.6703 0.5000
Be: 0.8297 0.3297 0.5000

Results
theoretical density: 5.3 Mg/m³
total magnetic moment: 0.0 μB/f.u.
symmetry: P4/mbm



Model b:
Computed, not measured: a geometry-optimized TiBe2Zn2 structure at the PBE level of DFT.

a b c (Å): 3.6935 3.6935 5.4138
angles (deg): 70.05 70.05 90.00
Positions (direct):
Be: 0.7500 0.2500 0.5000
Be: 0.2500 0.7500 0.5000
Ti: 0.0000 0.0000 0.0000
Zn: 0.6210 0.6210 0.7581
Zn: 0.3790 0.3790 0.2419

Results
theoretical density: 5.0 Mg/m³
total magnetic moment: 0.0 μB/f.u.
symmetry: I4/mmm



Of them, model a has the highest stability.



Model a:
Computed, not measured: a geometry-optimized TiBe3Zn structure at the PBE level of DFT.

a b c (Å): 4.4740 4.4740 4.4740
angles (deg): 90.00 90.00 90.00
Positions (direct):
Be: 0.5000 0.0000 0.0000
Be: 0.0000 0.5000 0.0000
Be: 0.0000 0.0000 0.5000
Ti: 0.0000 0.0000 0.0000
Zn: 0.5000 0.5000 0.5000

Results
theoretical density: 2.6 Mg/m³
total magnetic moment: 1.5 μB/f.u.
symmetry: Pm-3m



Model b:
Computed, not measured: a geometry-optimized TiBe3Zn structure at the PBE level of DFT.

a b c (Å): 4.0020 4.0020 4.0020
angles (deg): 90.00 90.00 90.00
Positions (direct):
Be: 0.0000 0.0000 0.5000
Be: 0.0000 0.5000 0.0000
Be: 0.5000 0.0000 0.0000
Ti: 0.5000 0.5000 0.5000
Zn: 0.0000 0.0000 0.0000

Results
theoretical density: 3.6 Mg/m³
total magnetic moment: 0.0 μB/f.u.
symmetry: Pm-3m



Of them, model b has the highest stability.